6
Lattice="5.762 -1.582 0.000 5.762 1.582 0.000 -3.544 0.000 7.846" Properties=species:S:1:pos:R:3 comment="PBE-GGA In5Rh, optimized geometry" magmom_total_mub_per_fu=0.00 sg="Cm, No. 8" e_tot_ev_per_cell=-21.4 pbc="T T T"
In 0.000 0.000 0.000
In -0.966 0.000 3.321
In 1.978 0.000 5.023
In 4.940 0.000 6.728
In 7.522 0.000 2.200
Rh 3.762 0.000 1.103